Entry 1:
Sm2AlGa6 | PBE | relaxed

Excess energy over the best structure of this formula in the dataset   0.2376 eV per atom
SG   C2/m, No. 12

Geometry as extended XYZ:
```
9
Lattice="7.831 -3.687 0.000 7.831 3.687 0.000 -0.050 0.000 3.356" Properties=species:S:1:pos:R:3 pbc="T T T"
Sm 3.144 0.000 0.011
Sm 12.469 0.000 3.345
Al 7.807 0.000 1.678
Ga 5.595 1.325 1.691
Ga 7.831 2.309 0.000
Ga 10.018 1.325 1.665
Ga 5.595 -1.325 1.691
Ga 7.831 -2.309 0.000
Ga 10.018 -1.325 1.665
```

Entry 2:
Sm2Al3Ga2 | PBE | relaxed

Excess energy over the best structure of this formula in the dataset   0.0000 eV per atom
SG   C2/m, No. 12

Geometry as extended XYZ:
```
7
Lattice="5.352 -2.131 0.000 5.352 2.131 0.000 -1.373 0.000 6.468" Properties=species:S:1:pos:R:3 pbc="T T T"
Sm 0.827 0.000 2.115
Sm 8.504 0.000 4.353
Al 0.969 0.000 5.591
Al 5.352 0.000 0.000
Al 8.362 0.000 0.877
Ga 3.866 0.000 2.233
Ga 5.465 0.000 4.235
```

Entry 3:
Sm2AlGa2 | PBE | relaxed

Excess energy over the best structure of this formula in the dataset   0.0000 eV per atom
SG   C2/m, No. 12

Geometry as extended XYZ:
```
10
Lattice="5.538 -2.220 0.000 5.538 2.220 0.000 -4.919 0.000 9.400" Properties=species:S:1:pos:R:3 pbc="T T T"
Sm -0.863 0.000 1.651
Sm 7.020 0.000 7.749
Sm -0.910 0.000 5.627
Sm 7.068 0.000 3.773
Al 2.372 0.000 1.452
Al 3.786 0.000 7.949
Ga -0.636 0.000 8.808
Ga 2.274 0.000 5.769
Ga 3.884 0.000 3.631
Ga 6.794 0.000 0.592
```

Entry 4:
SmAl2Ga | PBE | relaxed

Electronic total energy   -4.222 eV per atom
SG   Amm2, No. 38

Geometry as extended XYZ:
```
8
Lattice="6.889 0.000 0.000 0.000 2.171 5.492 0.000 -2.171 5.492" Properties=species:S:1:pos:R:3 pbc="T T T"
Sm 0.000 0.000 0.000
Sm 3.444 0.000 1.708
Al 0.000 0.000 3.161
Al 2.147 0.000 5.060
Al 3.444 0.000 9.558
Al 4.742 0.000 5.060
Ga 1.307 0.000 7.621
Ga 5.582 0.000 7.621
```